Entry 1:
The following is a DFT calculation (GGA-PBE) of a geometry-optimized HfTlSe2Cl structure.

## Properties
For the polymorph energy (0 for the lowest one), the calculation gives 0 meV per atom. Its formation energy (no corrections) is -1220 meV per atom.

a b c (Å): 8.850 3.857 9.022
angles (deg): 90.00 104.93 90.00
Fractional positions:
Hf: 0.171 0.250 0.152
Hf: 0.829 0.750 0.848
Tl: 0.321 0.750 0.746
Tl: 0.679 0.250 0.254
Se: 0.046 0.250 0.841
Se: 0.366 0.750 0.119
Se: 0.634 0.250 0.881
Se: 0.954 0.750 0.159
Cl: 0.251 0.250 0.430
Cl: 0.749 0.750 0.570

---

Entry 2:
The following is a DFT calculation (GGA-PBE) of a geometry-optimized HfTlSe2Cl structure.

## Properties
For the polymorph energy (0 for the lowest one), the calculation gives 178 meV per atom. Its formation energy (no corrections) is -1042 meV per atom.

a b c (Å): 5.241 5.241 5.051
angles (deg): 90.00 90.00 90.00
Fractional positions:
Hf: 0.000 0.000 0.000
Tl: 0.500 0.500 0.500
Se: 0.000 0.500 0.000
Se: 0.500 0.000 0.000
Cl: 0.000 0.000 0.500

---

Entry 3:
The following is a DFT calculation (GGA-PBE) of a geometry-optimized HfSiCl3 structure.

## Properties
For the polymorph energy (0 for the lowest one), the calculation gives 678 meV per atom. Its formation energy (no corrections) is 364 meV per atom.

a b c (Å): 5.025 5.025 5.025
angles (deg): 90.00 90.00 90.00
Fractional positions:
Hf: 0.000 0.000 0.000
Si: 0.500 0.500 0.500
Cl: 0.000 0.500 0.500
Cl: 0.500 0.000 0.500
Cl: 0.500 0.500 0.000

---

Entry 4:
The following is a DFT calculation (GGA-PBE) of a geometry-optimized HfSiCl2 structure.

## Properties
For the polymorph energy (0 for the lowest one), the calculation gives 380 meV per atom. Its formation energy (no corrections) is -158 meV per atom.

a b c (Å): 9.762 9.762 9.762
angles (deg): 19.39 19.39 19.39
Fractional positions:
Hf: 0.000 0.000 0.000
Si: 0.500 0.500 0.500
Cl: 0.083 0.083 0.083
Cl: 0.917 0.917 0.917

---

Entry 5:
The following is a DFT calculation (GGA-PBE) of a geometry-optimized HfSiCl3 structure.

## Properties
For the polymorph energy (0 for the lowest one), the calculation gives 0 meV per atom. Its formation energy (no corrections) is -314 meV per atom.

a b c (Å): 5.006 5.006 5.006
angles (deg): 90.00 90.00 90.00
Fractional positions:
Hf: 0.000 0.000 0.000
Si: 0.500 0.500 0.500
Cl: 0.000 0.000 0.500
Cl: 0.000 0.500 0.000
Cl: 0.500 0.000 0.000

---

Entry 6:
The following is a DFT calculation (GGA-PBE) of a geometry-optimized HfSiCl2 structure.

## Properties
For the polymorph energy (0 for the lowest one), the calculation gives 212 meV per atom. Its formation energy (no corrections) is -326 meV per atom.

a b c (Å): 6.806 6.806 6.806
angles (deg): 98.76 98.76 134.07
Fractional positions:
Hf: 0.000 0.000 0.000
Hf: 0.750 0.250 0.500
Si: 0.250 0.750 0.500
Si: 0.500 0.500 0.000
Cl: 0.375 0.241 0.366
Cl: 0.759 0.125 0.134
Cl: 0.875 0.009 0.634
Cl: 0.991 0.625 0.866

---

Entry 7:
The following is a DFT calculation (GGA-PBE) of a geometry-optimized HfSiCl2 structure.

## Properties
For the polymorph energy (0 for the lowest one), the calculation gives 599 meV per atom. Its formation energy (no corrections) is 61 meV per atom.

a b c (Å): 4.634 4.634 4.634
angles (deg): 60.00 60.00 60.00
Fractional positions:
Hf: 0.000 0.000 0.000
Si: 0.500 0.500 0.500
Cl: 0.250 0.250 0.250
Cl: 0.750 0.750 0.750

---

Entry 8:
The following is a DFT calculation (GGA-PBE) of a geometry-optimized HfSiCl2 structure.

## Properties
For the polymorph energy (0 for the lowest one), the calculation gives 0 meV per atom. Its formation energy (no corrections) is -538 meV per atom.

a b c (Å): 12.339 12.339 12.339
angles (deg): 14.67 14.67 14.67
Fractional positions:
Hf: 0.000 0.000 0.000
Si: 0.500 0.500 0.500
Cl: 0.384 0.384 0.384
Cl: 0.616 0.616 0.616

---

Entry 9:
The following is a DFT calculation (GGA-PBE) of a geometry-optimized Hf3SiCl structure.

## Properties
For the polymorph energy (0 for the lowest one), the calculation gives 0 meV per atom. Its formation energy (no corrections) is 332 meV per atom.

a b c (Å): 4.665 4.665 4.665
angles (deg): 90.00 90.00 90.00
Fractional positions:
Hf: 0.000 0.000 0.500
Hf: 0.000 0.500 0.000
Hf: 0.500 0.000 0.000
Si: 0.500 0.500 0.500
Cl: 0.000 0.000 0.000

---

Entry 10:
The following is a DFT calculation (GGA-PBE) of a geometry-optimized HfV2SiCl structure.

## Properties
Its formation energy (no corrections) is 550 meV per atom.

a b c (Å): 4.174 4.174 4.918
angles (deg): 90.00 90.00 90.00
Fractional positions:
Hf: 0.000 0.000 0.000
V: 0.000 0.500 0.500
V: 0.500 0.000 0.500
Si: 0.500 0.500 0.000
Cl: 0.500 0.500 0.500

---

Entry 11:
The following is a DFT calculation (GGA-PBE) of a geometry-optimized Sm2HfCl structure.

## Properties
Its formation energy (no corrections) is -261 meV per atom.

a b c (Å): 11.234 11.234 11.234
angles (deg): 16.94 16.94 16.94
Fractional positions:
Sm: 0.097 0.097 0.097
Sm: 0.903 0.903 0.903
Hf: 0.000 0.000 0.000
Cl: 0.500 0.500 0.500

---

Entry 12:
The following is a DFT calculation (GGA-PBE) of a geometry-optimized HfSnCl3 structure.

## Properties
For the polymorph energy (0 for the lowest one), the calculation gives 822 meV per atom. Its formation energy (no corrections) is 215 meV per atom.

a b c (Å): 5.518 5.518 5.518
angles (deg): 90.00 90.00 90.00
Fractional positions:
Hf: 0.000 0.000 0.000
Sn: 0.500 0.500 0.500
Cl: 0.000 0.500 0.500
Cl: 0.500 0.000 0.500
Cl: 0.500 0.500 0.000

---

Entry 13:
The following is a DFT calculation (GGA-PBE) of a geometry-optimized HfSnCl3 structure.

## Properties
For the polymorph energy (0 for the lowest one), the calculation gives 0 meV per atom. Its formation energy (no corrections) is -608 meV per atom.

a b c (Å): 5.021 5.021 5.021
angles (deg): 90.00 90.00 90.00
Fractional positions:
Hf: 0.000 0.000 0.000
Sn: 0.500 0.500 0.500
Cl: 0.000 0.000 0.500
Cl: 0.000 0.500 0.000
Cl: 0.500 0.000 0.000

---

Entry 14:
The following is a DFT calculation (GGA-PBE) of a geometry-optimized HfSnCl6 structure.

## Properties
For the polymorph energy (0 for the lowest one), the calculation gives 0 meV per atom. Its formation energy (no corrections) is -1516 meV per atom.

a b c (Å): 7.019 7.019 6.640
angles (deg): 97.54 97.54 122.97
Fractional positions:
Hf: 0.000 0.000 0.000
Sn: 0.500 0.500 0.500
Cl: 0.075 0.356 0.222
Cl: 0.234 0.234 0.773
Cl: 0.356 0.075 0.222
Cl: 0.644 0.925 0.778
Cl: 0.766 0.766 0.227
Cl: 0.925 0.644 0.778

---

Entry 15:
The following is a DFT calculation (GGA-PBE) of a geometry-optimized HfSn2Cl structure.

## Properties
For the polymorph energy (0 for the lowest one), the calculation gives 0 meV per atom. Its formation energy (no corrections) is 128 meV per atom.

a b c (Å): 11.545 11.545 11.545
angles (deg): 159.13 159.13 29.69
Fractional positions:
Hf: 0.000 0.000 0.000
Hf: 0.750 0.250 0.500
Sn: 0.115 0.625 0.990
Sn: 0.375 0.365 0.490
Sn: 0.635 0.125 0.010
Sn: 0.875 0.885 0.510
Cl: 0.250 0.750 0.500
Cl: 0.500 0.500 0.000

---

Entry 16:
The following is a DFT calculation (GGA-PBE) of a geometry-optimized HfSn2Cl8 structure.

## Properties
Its formation energy (no corrections) is -1352 meV per atom.

a b c (Å): 7.478 7.478 6.572
angles (deg): 106.30 106.30 76.45
Fractional positions:
Hf: 0.000 0.000 0.000
Sn: 0.329 0.329 0.526
Sn: 0.671 0.671 0.474
Cl: 0.047 0.674 0.762
Cl: 0.120 0.120 0.772
Cl: 0.326 0.953 0.238
Cl: 0.420 0.420 0.224
Cl: 0.580 0.580 0.776
Cl: 0.674 0.047 0.762
Cl: 0.880 0.880 0.228
Cl: 0.953 0.326 0.238

---

Entry 17:
The following is a DFT calculation (GGA-PBE) of a geometry-optimized Hf2Sn2Cl structure.

## Properties
Its formation energy (no corrections) is -324 meV per atom.

a b c (Å): 7.266 7.266 4.269
angles (deg): 90.00 90.00 90.00
Fractional positions:
Hf: 0.159 0.341 0.000
Hf: 0.341 0.841 0.000
Hf: 0.659 0.159 0.000
Hf: 0.841 0.659 0.000
Sn: 0.142 0.642 0.500
Sn: 0.358 0.142 0.500
Sn: 0.642 0.858 0.500
Sn: 0.858 0.358 0.500
Cl: 0.000 0.000 0.000
Cl: 0.500 0.500 0.000

---

Entry 18:
The following is a DFT calculation (GGA-PBE) of a geometry-optimized HfSn3Cl structure.

## Properties
For the polymorph energy (0 for the lowest one), the calculation gives 378 meV per atom. Its formation energy (no corrections) is 616 meV per atom.

a b c (Å): 5.198 5.198 5.198
angles (deg): 90.00 90.00 90.00
Fractional positions:
Hf: 0.000 0.000 0.000
Sn: 0.000 0.500 0.500
Sn: 0.500 0.000 0.500
Sn: 0.500 0.500 0.000
Cl: 0.500 0.500 0.500

---

Entry 19:
The following is a DFT calculation (GGA-PBE) of a geometry-optimized HfSn2Cl structure.

## Properties
For the polymorph energy (0 for the lowest one), the calculation gives 53 meV per atom. Its formation energy (no corrections) is 181 meV per atom.

a b c (Å): 5.170 5.170 5.170
angles (deg): 60.00 60.00 60.00
Fractional positions:
Hf: 0.000 0.000 0.000
Sn: 0.250 0.250 0.250
Sn: 0.750 0.750 0.750
Cl: 0.500 0.500 0.500

---

Entry 20:
The following is a DFT calculation (GGA-PBE) of a geometry-optimized HfSnCl6 structure.

## Properties
For the polymorph energy (0 for the lowest one), the calculation gives 9 meV per atom. Its formation energy (no corrections) is -1507 meV per atom.

a b c (Å): 7.189 7.189 7.189
angles (deg): 55.42 55.42 55.42
Fractional positions:
Hf: 0.000 0.000 0.000
Sn: 0.500 0.500 0.500
Cl: 0.070 0.384 0.779
Cl: 0.221 0.930 0.616
Cl: 0.384 0.779 0.070
Cl: 0.616 0.221 0.930
Cl: 0.779 0.070 0.384
Cl: 0.930 0.616 0.221

---

Entry 21:
The following is a DFT calculation (GGA-PBE) of a geometry-optimized HfSn3Cl structure.

## Properties
For the polymorph energy (0 for the lowest one), the calculation gives 0 meV per atom. Its formation energy (no corrections) is 238 meV per atom.

a b c (Å): 5.592 5.592 5.592
angles (deg): 90.00 90.00 90.00
Fractional positions:
Hf: 0.000 0.000 0.000
Sn: 0.000 0.000 0.500
Sn: 0.000 0.500 0.000
Sn: 0.500 0.000 0.000
Cl: 0.500 0.500 0.500

---

Entry 22:
The following is a DFT calculation (GGA-PBE) of a geometry-optimized Sr2HfSnCl structure.

## Properties
Its formation energy (no corrections) is -285 meV per atom.

a b c (Å): 5.591 5.591 4.862
angles (deg): 90.00 90.00 90.00
Fractional positions:
Sr: 0.000 0.500 0.000
Sr: 0.500 0.000 0.000
Hf: 0.000 0.000 0.500
Sn: 0.500 0.500 0.500
Cl: 0.000 0.000 0.000

---

Entry 23:
The following is a DFT calculation (GGA-PBE) of a geometry-optimized HfZrSn2Cl structure.

## Properties
Its formation energy (no corrections) is 472 meV per atom.

a b c (Å): 5.495 5.495 5.310
angles (deg): 90.00 90.00 90.00
Fractional positions:
Hf: 0.000 0.000 0.000
Zr: 0.000 0.000 0.500
Sn: 0.000 0.500 0.000
Sn: 0.500 0.000 0.000
Cl: 0.500 0.500 0.500

---

Entry 24:
The following is a DFT calculation (GGA-PBE) of a geometry-optimized SrHf2Cl structure.

## Properties
For the polymorph energy (0 for the lowest one), the calculation gives 0 meV per atom. Its formation energy (no corrections) is 558 meV per atom.

a b c (Å): 10.022 10.022 10.022
angles (deg): 149.40 149.40 43.82
Fractional positions:
Sr: 0.000 0.000 0.000
Sr: 0.750 0.250 0.500
Hf: 0.343 0.125 0.718
Hf: 0.375 0.657 0.782
Hf: 0.407 0.625 0.282
Hf: 0.875 0.593 0.218
Cl: 0.250 0.750 0.500
Cl: 0.500 0.500 0.000

---

Entry 25:
The following is a DFT calculation (GGA-PBE) of a geometry-optimized SrHfCl6 structure.

## Properties
Its formation energy (no corrections) is -2069 meV per atom.

a b c (Å): 7.000 7.000 6.695
angles (deg): 97.38 97.38 121.66
Fractional positions:
Sr: 0.000 0.000 0.000
Hf: 0.500 0.500 0.500
Cl: 0.153 0.437 0.278
Cl: 0.261 0.261 0.717
Cl: 0.437 0.153 0.278
Cl: 0.563 0.847 0.722
Cl: 0.739 0.739 0.283
Cl: 0.847 0.563 0.722

---

Entry 26:
The following is a DFT calculation (GGA-PBE) of a geometry-optimized SrHf2Cl structure.

## Properties
For the polymorph energy (0 for the lowest one), the calculation gives 392 meV per atom. Its formation energy (no corrections) is 950 meV per atom.

a b c (Å): 5.290 5.290 5.290
angles (deg): 60.00 60.00 60.00
Fractional positions:
Sr: 0.000 0.000 0.000
Hf: 0.250 0.250 0.250
Hf: 0.750 0.750 0.750
Cl: 0.500 0.500 0.500

---

Entry 27:
The following is a DFT calculation (GGA-PBE) of a geometry-optimized Sr3HfCl structure.

## Properties
For the polymorph energy (0 for the lowest one), the calculation gives 0 meV per atom. Its formation energy (no corrections) is -53 meV per atom.

a b c (Å): 5.767 5.767 5.767
angles (deg): 90.00 90.00 90.00
Fractional positions:
Sr: 0.000 0.000 0.500
Sr: 0.000 0.500 0.000
Sr: 0.500 0.000 0.000
Hf: 0.500 0.500 0.500
Cl: 0.000 0.000 0.000

---

no.,calculated density (g cm⁻³),calculated total energy (eV per atom)
1,6.43,-5.447
2,6.90,-5.269
3,4.10,-3.819
4,5.14,-4.925
5,4.14,-4.497
6,4.42,-5.093
7,6.55,-4.706
8,4.39,-5.305
9,9.80,-7.094
10,6.66,-6.542
11,8.14,-5.570
12,3.99,-3.685
13,5.30,-4.507
14,3.21,-4.646
15,7.68,-4.823
16,3.48,-4.328
17,9.28,-6.276
18,6.74,-4.145
19,7.67,-4.770
20,3.61,-4.637
21,5.41,-4.524
22,5.55,-4.119
23,5.62,-5.199
24,6.13,-5.301
25,2.95,-4.908
26,7.62,-4.909
27,4.13,-3.422